This record from Alexandria describes crystalline K2Na3NpO6 at its relaxed geometry. The functional is PBE.

M_tot in μB per formula unit: 0.00
Energy relative to the elements, uncorrected in eV per atom: -2.06
Calculated total energy in eV per atom: -6.126

Cell lengths 6.3615, 11.2533, 5.8836 Å; angles 90.00, 111.99, 90.00 degrees
Closest atoms and distances in Å follow each position.
Space group C2/m (No. 12)
Inequivalent atoms, fractional coordinates:
K  0.0000  0.1705  0.0000 (multiplicity 4)  6 O 2.67-2.75
Na  0.0000  0.0000  0.5000 (multiplicity 2)  4 O 2.43
Na  0.0000  0.3550  0.5000 (multiplicity 4)  4 O 2.37-2.40
Np  0.0000  0.5000  0.0000 (multiplicity 2)  6 O 2.03-2.06
O  0.1950  0.5000  0.7952 (multiplicity 4)  1 Np 2.03
O  0.2016  0.3727  0.2296 (multiplicity 8)  1 Np 2.06


This record from Alexandria describes crystalline CaHS2 at its relaxed geometry. The functional is PBE.

M_tot in μB per formula unit: 0.36
Calculated total energy in eV per atom: -3.435

Cell lengths 6.6141, 6.6141, 6.6141 Å; angles 90.00, 90.00, 90.00 degrees
Closest atoms and distances in Å follow each position.
Space group Fm-3m (No. 225)
Inequivalent atoms, fractional coordinates:
Ca  0.0000  0.0000  0.0000 (multiplicity 4)  8 S 2.86
H  0.0000  0.0000  0.5000 (multiplicity 4)  8 S 2.86
S  0.2500  0.2500  0.2500 (multiplicity 8)  4 H 2.86, 4 Ca 2.86


This record from Alexandria describes crystalline Nd4AsSe3 at its relaxed geometry. The functional is PBE.

M_tot in μB per formula unit: 0.00
Energy relative to the elements, uncorrected in eV per atom: -1.80
Calculated total energy in eV per atom: -6.068

Cell lengths 8.5256, 12.0024, 4.2309 Å; angles 90.00, 90.00, 90.00 degrees
Closest atoms and distances in Å follow each position.
Space group Cmmm (No. 65)
Inequivalent atoms, fractional coordinates:
Nd  0.0000  0.2446  0.0000 (multiplicity 4)  1 As 2.94, 5 Se 3.00-3.07
Nd  0.2410  0.0000  0.5000 (multiplicity 4)  2 As 2.95, 4 Se 3.00-3.06
As  0.0000  0.0000  0.0000 (multiplicity 2)  6 Nd 2.94-2.95
Se  0.0000  0.5000  0.0000 (multiplicity 2)  6 Nd 3.06-3.07
Se  0.2500  0.2500  0.5000 (multiplicity 4)  6 Nd 3.00


This record from Alexandria describes crystalline MgCo2NiRu at its relaxed geometry. The functional is PBE.

M_tot in μB per formula unit: 5.53
Calculated total energy in eV per atom: -4.441
Energy of formation in eV/f.u.: 8.66

Cell lengths 4.2539, 4.2539, 4.4929 Å; angles 90.00, 90.00, 90.00 degrees
Closest atoms and distances in Å follow each position.
Space group P4/mmm (No. 123)
Inequivalent atoms, fractional coordinates:
Mg  0.0000  0.0000  0.0000 (multiplicity 1)  4 Co 2.13, 2 Ru 2.25
Co  0.0000  0.5000  0.0000 (multiplicity 2)  2 Mg 2.13
Ni  0.5000  0.5000  0.5000 (multiplicity 1)  4 Ru 3.01, 8 Co 3.09
Ru  0.0000  0.0000  0.5000 (multiplicity 1)  2 Mg 2.25


This record from Alexandria describes crystalline Pm2HoErAs4 at its relaxed geometry. The functional is PBE.

M_tot in μB per formula unit: 0.00
Calculated total energy in eV per atom: -6.176
Energy of formation in eV/f.u.: -12.17

Cell lengths 7.2096, 4.1685, 7.2156 Å; angles 90.00, 109.48, 90.00 degrees
Closest atoms and distances in Å follow each position.
Space group P2/m (No. 10)
Inequivalent atoms, fractional coordinates:
Pm  0.0000  0.0000  0.0000 (multiplicity 1)  6 As 2.98
Pm  0.0000  0.5000  0.5000 (multiplicity 1)  6 As 2.98
Ho  0.5000  0.0000  0.5000 (multiplicity 1)  6 As 2.91
Er  0.5000  0.5000  0.0000 (multiplicity 1)  6 As 2.91
As  0.2593  0.0000  0.7536 (multiplicity 2)  2 Er 2.91, 1 Ho 2.91, 3 Pm 2.98
As  0.2590  0.5000  0.2525 (multiplicity 2)  1 Er 2.91, 2 Ho 2.91, 3 Pm 2.98


This record from Alexandria describes crystalline TaCl3 at its relaxed geometry. The functional is PBE.

M_tot in μB per formula unit: 0.00
Energy relative to the elements, uncorrected in eV per atom: -0.35
Calculated total energy in eV per atom: -4.701

Cell lengths 5.5775, 14.8596, 5.7793 Å; angles 90.00, 90.00, 90.00 degrees
Closest atoms and distances in Å follow each position.
Space group Cmcm (No. 63)
Inequivalent atoms, fractional coordinates:
Ta  0.0000  0.0367  0.2500 (multiplicity 4)  2 Cl 2.22
Cl  0.0000  0.4465  0.2500 (multiplicity 4)  2 Ta 3.09, 4 Cl 3.30-3.32
Cl  0.2423  0.3493  0.7500 (multiplicity 8)  1 Ta 2.22


This record from Alexandria describes crystalline PrInHRh2 at its relaxed geometry. The functional is PBE.

M_tot in μB per formula unit: 0.00
Calculated total energy in eV per atom: -5.580

Cell lengths 3.8477, 12.1377, 7.4907 Å; angles 90.00, 90.00, 90.00 degrees
Closest atoms and distances in Å follow each position.
Space group Cmcm (No. 63)
Inequivalent atoms, fractional coordinates:
Pr  0.0000  0.0369  0.2500 (multiplicity 4)  4 H 2.72
In  0.0000  0.2351  0.7500 (multiplicity 4)  6 Rh 2.70-2.71
H  0.0000  0.5000  0.0000 (multiplicity 4)  2 Rh 1.72
Rh  0.0000  0.3611  0.0476 (multiplicity 8)  1 H 1.72


This record from Alexandria describes crystalline Ni2PbBr at its relaxed geometry. The functional is PBE.

M_tot in μB per formula unit: 0.00
Energy relative to the elements, uncorrected in eV per atom: 0.40
Calculated total energy in eV per atom: -3.838

Cell lengths 3.4536, 3.4536, 6.4098 Å; angles 90.00, 90.00, 90.00 degrees
Closest atoms and distances in Å follow each position.
Space group P4/mmm (No. 123)
Inequivalent atoms, fractional coordinates:
Ni  0.0000  0.0000  0.1964 (multiplicity 2)  1 Ni 2.52, 4 Pb 2.75
Pb  0.5000  0.5000  0.0000 (multiplicity 1)  8 Ni 2.75
Br  0.5000  0.5000  0.5000 (multiplicity 1)  8 Ni 3.12, 2 Pb 3.20, 4 Br 3.45


This record from Alexandria describes crystalline Ho3Ge2S at its relaxed geometry. The functional is PBE.

M_tot in μB per formula unit: 0.00
Energy relative to the elements, uncorrected in eV per atom: -1.21
Calculated total energy in eV per atom: -5.729

Cell lengths 3.9808, 5.7447, 12.3598 Å; angles 90.00, 90.00, 90.00 degrees
Closest atoms and distances in Å follow each position.
Space group Immm (No. 71)
Inequivalent atoms, fractional coordinates:
Ho  0.0000  0.0000  0.0000 (multiplicity 2)  4 Ge 2.86, 2 S 2.87
Ho  0.0000  0.0000  0.3389 (multiplicity 4)  2 S 2.82, 4 Ge 2.87-2.92
Ge  0.0000  0.5000  0.3343 (multiplicity 4)  6 Ho 2.86-2.92
S  0.0000  0.5000  0.0000 (multiplicity 2)  6 Ho 2.82-2.87


This record from Alexandria describes crystalline BaAg3Rh at its relaxed geometry. The functional is PBE.

M_tot in μB per formula unit: 0.00
Calculated total energy in eV per atom: -3.373
Energy of formation in eV/f.u.: 0.96

Cell lengths 5.1647, 5.1647, 5.1647 Å; angles 90.00, 90.00, 90.00 degrees
Closest atoms and distances in Å follow each position.
Space group Pm-3m (No. 221)
Inequivalent atoms, fractional coordinates:
Ba  0.0000  0.0000  0.0000 (multiplicity 1)  12 Ag 3.65
Ag  0.0000  0.5000  0.5000 (multiplicity 3)  2 Rh 2.58
Rh  0.5000  0.5000  0.5000 (multiplicity 1)  6 Ag 2.58


This record from Alexandria describes crystalline Y2TmAl9 at its relaxed geometry. The functional is PBE.

M_tot in μB per formula unit: 0.00
Calculated total energy in eV per atom: -4.606
Energy of formation in eV/f.u.: -4.19

Cell lengths 5.5641, 5.5641, 26.2514 Å; angles 90.00, 90.00, 120.00 degrees
Closest atoms and distances in Å follow each position.
Space group R-3m (No. 166, hexagonal axes)
Inequivalent atoms, fractional coordinates:
Y  0.0000  0.0000  0.1420 (multiplicity 6)  12 Al 3.18-3.28, 3 Y 3.46
Tm  0.0000  0.0000  0.0000 (multiplicity 3)  18 Al 3.21-3.54
Al  0.0000  0.0000  0.3353 (multiplicity 6)  6 Al 2.69-2.74
Al  0.0000  0.0000  0.5000 (multiplicity 3)  6 Al 2.74
Al  0.0075  0.5037  0.9167 (multiplicity 18)  7 Al 2.69-2.84


This record from Alexandria describes crystalline Sm2Dy6Er3Tm at its relaxed geometry. The functional is PBE.

M_tot in μB per formula unit: 0.00
Calculated total energy in eV per atom: -4.583
Energy of formation in eV/f.u.: 0.22

Cell lengths 6.1344, 10.6152, 11.7389 Å; angles 90.00, 99.98, 90.00 degrees
Closest atoms and distances in Å follow each position.
Space group C2/m (No. 12)
Inequivalent atoms, fractional coordinates:
Sm  0.0000  0.1667  0.0000 (multiplicity 4)  3 Tm 3.54, 3 Sm 3.54, 6 Dy 3.56
Dy  0.2482  0.5000  0.7477 (multiplicity 4)  3 Er 3.52, 6 Dy 3.53-3.54, 1 Tm 3.56, 2 Sm 3.56
Dy  0.2493  0.1663  0.7478 (multiplicity 8)  3 Er 3.52, 6 Dy 3.53-3.54, 1 Tm 3.56, 2 Sm 3.56
Er  0.0000  0.0000  0.5000 (multiplicity 2)  6 Dy 3.52, 6 Er 3.54
Er  0.0000  0.3337  0.5000 (multiplicity 4)  6 Dy 3.52, 6 Er 3.53-3.54
Tm  0.0000  0.5000  0.0000 (multiplicity 2)  6 Sm 3.54, 6 Dy 3.56


This record from Alexandria describes crystalline PrYS2 at its relaxed geometry. The functional is PBE.

M_tot in μB per formula unit: 0.00
Energy relative to the elements, uncorrected in eV per atom: -1.95
Calculated total energy in eV per atom: -6.824

Cell lengths 3.9115, 3.9115, 21.0151 Å; angles 90.00, 90.00, 120.00 degrees
Closest atoms and distances in Å follow each position.
Space group R3m (No. 160, hexagonal axes)
Inequivalent atoms, fractional coordinates:
Pr  0.0000  0.0000  0.0000 (multiplicity 3)  6 S 2.83-2.98
Y  0.0000  0.0000  0.8220 (multiplicity 3)  6 S 2.74-2.88
S  0.0000  0.0000  0.4146 (multiplicity 3)  3 Y 2.74, 3 Pr 2.83
S  0.0000  0.0000  0.5741 (multiplicity 3)  3 Y 2.88, 3 Pr 2.98